VASP calculation (GGA-PBEsol) on Na6Mn2B4SO16 after structural relaxation.

Output
Energy relative to the elements, uncorrected in eV per atom: -2.03
Space-group type: No. 203
E in eV per atom: -7.004
Size of the total moment in μB/f.u.: 6.00

a b c (Å): 9.714 9.714 9.714
angles (deg): 60.00 60.00 60.00
Element x y z (fractional)
Na 0.219 0.781 0.219
Na 0.469 0.031 0.031
Na 0.781 0.781 0.219
Na 0.219 0.219 0.781
Na 0.469 0.031 0.469
Na 0.031 0.469 0.469
Na 0.781 0.219 0.781
Na 0.219 0.781 0.781
Na 0.031 0.031 0.469
Na 0.469 0.469 0.031
Na 0.781 0.219 0.219
Na 0.031 0.469 0.031
Mn 0.625 0.625 0.625
Mn 0.125 0.625 0.625
Mn 0.625 0.625 0.125
Mn 0.625 0.125 0.625
B 0.415 0.415 0.415
B 0.415 0.756 0.415
B 0.756 0.415 0.415
B 0.415 0.415 0.756
B 0.835 0.835 0.494
B 0.835 0.494 0.835
B 0.494 0.835 0.835
B 0.835 0.835 0.835
S 0.000 0.000 0.000
S 0.250 0.250 0.250
O 0.488 0.804 0.993
O 0.715 0.993 0.804
O 0.446 0.535 0.257
O 0.257 0.446 0.535
O 0.063 0.063 0.812
O 0.535 0.762 0.257
O 0.257 0.762 0.446
O 0.812 0.063 0.063
O 0.063 0.812 0.063
O 0.762 0.257 0.535
O 0.762 0.535 0.446
O 0.063 0.063 0.063
O 0.446 0.257 0.762
O 0.446 0.762 0.535
O 0.257 0.535 0.762
O 0.715 0.804 0.488
O 0.535 0.446 0.762
O 0.993 0.715 0.488
O 0.804 0.488 0.715
O 0.804 0.993 0.488
O 0.187 0.187 0.187
O 0.488 0.715 0.804
O 0.488 0.993 0.715
O 0.438 0.187 0.187
O 0.187 0.438 0.187
O 0.993 0.488 0.804
O 0.715 0.488 0.993
O 0.187 0.187 0.438
O 0.993 0.804 0.715
O 0.804 0.715 0.993
O 0.535 0.257 0.446
O 0.762 0.446 0.257